# 1
A relaxed structure of SrIn2HS, computed with GGA-PBE.

The structure in POSCAR format:
```
SrIn2HS
1.0
5.808 0.000 0.000
0.000 5.808 0.000
0.000 0.000 5.535
Sr In H S
1 2 1 1
Direct
0.000 0.000 0.000
0.000 0.500 0.500
0.500 0.000 0.500
0.500 0.500 0.000
0.000 0.000 0.500
```

Summary:
Calculated total energy = -2.77 eV per atom

# 2
A relaxed structure of CuSbOsF, computed with GGA-PBE.

The structure in POSCAR format:
```
CuSbOsF
1.0
2.905 0.000 0.000
0.000 4.425 0.000
-1.442 0.000 4.888
Cu Sb Os F
1 1 1 1
Direct
0.000 0.000 0.000
0.741 0.500 0.480
0.467 0.500 0.936
0.739 0.000 0.469
```

Summary:
Polymorph energy (0 for the lowest one) = 21 meV/atom
Formation energy without anion corrections = -0.188 eV/atom

# 3
A relaxed structure of CsZnGa, computed with GGA-PBE.

The structure in POSCAR format:
```
CsZnGa
1.0
4.720 0.000 0.000
0.000 7.533 0.000
0.000 0.000 12.029
Cs Zn Ga
4 4 4
Direct
0.000 0.000 0.235
0.000 0.000 0.765
0.500 0.500 0.265
0.500 0.500 0.735
0.000 0.306 0.500
0.000 0.694 0.500
0.500 0.194 0.000
0.500 0.806 0.000
0.000 0.336 0.000
0.000 0.664 0.000
0.500 0.164 0.500
0.500 0.836 0.500
```

Summary:
Energy of formation = 0.058 eV/atom
Polymorph energy (0 for the lowest one) = 56 meV/atom

# 4
A relaxed structure of Tb4PrSmTm2, computed with GGA-PBE.

The structure in POSCAR format:
```
Tb4PrSmTm2
1.0
6.180 -3.569 0.000
6.180 3.569 0.000
-4.132 0.000 11.656
Tb Pr Sm Tm
8 2 2 4
Direct
0.249 0.249 0.746
0.249 0.749 0.747
0.250 0.250 0.253
0.251 0.751 0.253
0.749 0.249 0.747
0.750 0.750 0.747
0.751 0.251 0.253
0.751 0.751 0.254
0.000 0.500 0.000
0.500 0.000 0.000
0.500 0.500 0.000
0.500 0.500 0.500
0.000 0.000 0.000
0.000 0.000 0.500
0.000 0.500 0.500
0.500 0.000 0.500
```

Summary:
Energy of formation = 0.017 eV/atom

# 5
A relaxed structure of Ca2SbI, computed with GGA-PBE.

The structure in POSCAR format:
```
Ca2SbI
1.0
4.592 0.000 0.000
0.000 7.822 0.000
0.000 0.000 7.911
Ca Sb I
4 2 2
Direct
0.250 0.007 0.210
0.250 0.493 0.210
0.750 0.507 0.790
0.750 0.993 0.790
0.250 0.750 0.907
0.750 0.250 0.093
0.250 0.250 0.580
0.750 0.750 0.420
```

Summary:
Formation energy without anion corrections = -1.214 eV/atom

# 6
A relaxed structure of NaIn7Sn3, computed with GGA-PBE.

The structure in POSCAR format:
```
NaIn7Sn3
1.0
6.636 0.000 0.000
-3.318 5.747 0.000
0.000 0.000 8.088
Na In Sn
1 7 3
Direct
0.000 0.000 0.000
0.333 0.667 0.299
0.340 0.170 0.336
0.505 0.011 0.976
0.505 0.495 0.976
0.830 0.170 0.336
0.830 0.660 0.336
0.989 0.495 0.976
0.170 0.339 0.658
0.170 0.830 0.658
0.661 0.830 0.658
```

Summary:
Energy of formation = 0.005 eV/atom

# 7
A relaxed structure of Tm4GaPbS2, computed with GGA-PBE.

The structure in POSCAR format:
```
Tm4GaPbS2
1.0
6.510 0.000 0.000
0.000 3.782 0.000
-2.213 0.000 7.564
Tm Ga Pb S
4 1 1 2
Direct
0.230 0.000 0.208
0.253 0.500 0.785
0.747 0.500 0.215
0.770 0.000 0.792
0.000 0.000 0.500
0.500 0.500 0.500
0.000 0.500 0.000
0.500 0.000 0.000
```

Summary:
Formation energy without anion corrections = -1.189 eV/atom

# 8
A relaxed structure of TaTe2Se, computed with GGA-PBE.

The structure in POSCAR format:
```
TaTe2Se
1.0
9.350 0.000 0.000
0.000 3.461 0.000
-1.996 0.000 6.696
Ta Te Se
2 4 2
Direct
0.000 0.000 0.000
0.500 0.500 0.000
0.141 0.500 0.322
0.458 0.000 0.666
0.641 0.000 0.322
0.958 0.500 0.666
0.290 0.000 0.998
0.790 0.500 0.998
```

Summary:
Formation energy without anion corrections = -0.248 eV/atom

Number 8 is which compound? TaTe2Se

What is the formula in the eighth record? TaTe2Se

Number 5 is which compound? Ca2SbI

Which formula does entry 3 have? CsZnGa